Record 1
## Cs2YP (GGA-PBE)

Data for crystalline Cs2YP at its relaxed geometry.

Computed properties:
ΔE to the lowest computed polymorph ... 0.00 kcal/mol of atoms
DOS(E_F) ... 0.093 states/eV per cell
DFT formation energy ... -111 meV per atom
Calculated total energy ... -3.507 eV per atom
Magnetic moment ... 0.000 μB per atom

Cell: 14.0509 14.0509 10.2879 Å, 46.93 46.93 90.00°
With the nearest neighbours (Å) after each atom.
Fractional positions:
P  0.2500  0.7500  0.5000  2 Y 2.67
P  0.5000  0.5000  0.0000  2 Y 2.67
Cs  0.2950  0.6250  0.2500  2 P 3.75, 2 Y 4.20
Y  0.0000  0.0000  0.0000  2 P 2.67
Cs  0.3750  0.5450  0.7500  2 P 3.75, 2 Y 4.20
Cs  0.8750  0.7050  0.7500  2 P 3.75, 2 Y 4.20
Cs  0.4550  0.1250  0.2500  2 P 3.75, 2 Y 4.20
Y  0.7500  0.2500  0.5000  2 P 2.67

Record 2
## ZrFeAu (GGA-PBE)

Data for crystalline ZrFeAu at its relaxed geometry.

Computed properties:
DOS(E_F) ... 3.820 states/eV per cell
DFT formation energy ... -199 meV per atom
Calculated total energy ... -6.962 eV per atom
Magnetic moment ... 0.621 μB per atom

Cell: 5.0669 5.0669 5.0669 Å, 140.53 140.46 57.10°
With the nearest neighbours (Å) after each atom.
Fractional positions:
Zr  0.6749  0.6749  0.0000  5 Fe 2.79-3.06, 5 Au 2.84-2.91
Au  0.9943  0.9943  0.0000  5 Fe 2.83-2.99, 5 Zr 2.84-2.91
Fe  0.3307  0.3307  0.0000  5 Zr 2.79-3.06, 5 Au 2.83-2.99

Record 3
## Ge3AsW (GGA-PBE)

Data for crystalline Ge3AsW at its relaxed geometry.

Computed properties:
ΔE to the lowest computed polymorph ... 0.00 kcal/mol of atoms
DOS(E_F) ... 6.632 states/eV per cell
DFT formation energy ... 740 meV per atom
Calculated total energy ... -5.551 eV per atom
Magnetic moment ... 0.000 μB per atom

Cell: 4.9199 4.9199 4.9199 Å, 90.00 90.00 90.00°
With the nearest neighbours (Å) after each atom.
Fractional positions:
Ge  0.5000  0.0000  0.0000  2 W 2.46
Ge  0.0000  0.0000  0.5000  2 W 2.46
As  0.5000  0.5000  0.5000  12 Ge 3.48
W  0.0000  0.0000  0.0000  6 Ge 2.46
Ge  0.0000  0.5000  0.0000  2 W 2.46

Record 4
## La8Nd2Cd (GGA-PBE)

Data for crystalline La8Nd2Cd at its relaxed geometry.

Computed properties:
ΔE to the lowest computed polymorph ... 0.00 kcal/mol of atoms
DOS(E_F) ... 16.620 states/eV per cell
DFT formation energy ... 1 meV per atom
Calculated total energy ... -4.533 eV per atom
Magnetic moment ... 0.000 μB per atom

Cell: 5.7717 9.1142 9.1151 Å, 118.58 108.46 90.00°
With the nearest neighbours (Å) after each atom.
Fractional positions:
La  0.8781  0.8430  0.7563  2 Cd 3.43, 3 Nd 3.50-3.72, 2 La 3.66-3.71
La  0.3217  0.0664  0.6433  1 Cd 3.43, 4 La 3.45-3.59, 1 Nd 3.71
Cd  0.5000  0.0000  0.0000  8 La 3.40-3.43
Nd  0.2337  0.6021  0.4675  8 La 3.40-3.72, 2 Nd 3.63
La  0.9268  0.2832  0.8537  1 Nd 3.43, 6 La 3.45-3.66
La  0.6783  0.9336  0.3567  1 Cd 3.43, 4 La 3.45-3.59, 1 Nd 3.71
Nd  0.7663  0.3979  0.5325  8 La 3.40-3.72, 2 Nd 3.63
La  0.4224  0.5746  0.8448  3 Nd 3.40-3.72, 1 Cd 3.40, 3 La 3.57-3.66
La  0.5776  0.4254  0.1552  3 Nd 3.40-3.72, 1 Cd 3.40, 3 La 3.57-3.66
La  0.0732  0.7168  0.1463  1 Nd 3.43, 6 La 3.45-3.66
La  0.1219  0.1570  0.2437  2 Cd 3.43, 3 Nd 3.50-3.72, 2 La 3.66-3.71

Record 5
## ZnFe4Hg (GGA-PBE)

Data for crystalline ZnFe4Hg at its relaxed geometry.

Computed properties:
DOS(E_F) ... 5.285 states/eV per cell
DFT formation energy ... 282 meV per atom
Calculated total energy ... -5.623 eV per atom
Magnetic moment ... 1.645 μB per atom

Cell: 4.9167 4.9167 4.9167 Å, 60.00 60.00 60.00°
With the nearest neighbours (Å) after each atom.
Fractional positions:
Fe  0.8782  0.3739  0.3739  6 Fe 2.44-2.48
Zn  0.0000  0.0000  0.0000  12 Fe 2.88, 4 Hg 3.01
Fe  0.3739  0.8782  0.3739  6 Fe 2.44-2.48
Fe  0.3739  0.3739  0.8782  6 Fe 2.44-2.48
Fe  0.3739  0.3739  0.3739  6 Fe 2.44-2.48
Hg  0.7500  0.7500  0.7500  12 Fe 2.88, 4 Zn 3.01

Record 6
## Li4Ag4Sn (GGA-PBE)

Data for crystalline Li4Ag4Sn at its relaxed geometry.

Computed properties:
DOS(E_F) ... 2.777 states/eV per cell
DFT formation energy ... -232 meV per atom
Calculated total energy ... -2.794 eV per atom
Magnetic moment ... 0.000 μB per atom

Cell: 4.3970 6.3644 6.3644 Å, 83.15 69.79 69.79°
With the nearest neighbours (Å) after each atom.
Fractional positions:
Ag  0.0003  0.3347  0.6648  5 Ag 2.79-2.95, 6 Li 2.83-2.98, 1 Sn 2.83
Ag  0.9997  0.6653  0.3352  5 Ag 2.79-2.95, 6 Li 2.83-2.98, 1 Sn 2.83
Li  0.6657  0.6695  0.9991  4 Li 2.79-2.99, 6 Ag 2.83-2.98, 2 Sn 2.95
Ag  0.6651  0.3352  0.3347  5 Ag 2.79-2.95, 6 Li 2.83-2.98, 1 Sn 2.83
Li  0.3343  0.3305  0.0009  4 Li 2.79-2.99, 6 Ag 2.83-2.98, 2 Sn 2.95
Ag  0.3349  0.6648  0.6653  5 Ag 2.79-2.95, 6 Li 2.83-2.98, 1 Sn 2.83
Sn  0.0000  0.0000  0.0000  4 Ag 2.83, 8 Li 2.95
Li  0.6648  0.0009  0.6695  4 Li 2.79-2.99, 6 Ag 2.83-2.98, 2 Sn 2.95
Li  0.3352  0.9991  0.3305  4 Li 2.79-2.99, 6 Ag 2.83-2.98, 2 Sn 2.95

Record 7
## PuSc2Be (GGA-PBE)

Data for crystalline PuSc2Be at its relaxed geometry.

Computed properties:
ΔE to the lowest computed polymorph ... 0.00 kcal/mol of atoms
DOS(E_F) ... 9.133 states/eV per cell
DFT formation energy ... 67 meV per atom
Calculated total energy ... -7.613 eV per atom
Magnetic moment ... 1.503 μB per atom

Cell: 3.1800 3.1800 8.1253 Å, 90.00 90.00 90.00°
With the nearest neighbours (Å) after each atom.
Fractional positions:
Sc  0.0000  0.0000  0.1911  4 Be 2.73
Pu  0.5000  0.5000  0.5000  4 Pu 3.18, 8 Sc 3.37
Be  0.5000  0.5000  0.0000  8 Sc 2.73
Sc  0.0000  0.0000  0.8089  4 Be 2.73

Record 8
## TbY6Te8 (GGA-PBE)

Data for crystalline TbY6Te8 at its relaxed geometry.

Computed properties:
Uncorrected formation energy ... -1.39 eV per atom
DOS(E_F) ... 7.089 states/eV per cell
Calculated total energy ... -5.958 eV per atom
Magnetic moment ... 0.000 μB per atom

Cell: 8.6958 8.6958 8.6958 Å, 60.00 60.00 60.00°
With the nearest neighbours (Å) after each atom.
Fractional positions:
Te  0.7440  0.2560  0.7440  4 Y 3.08, 1 Tb 3.15
Te  0.2560  0.7440  0.7440  4 Y 3.08, 1 Tb 3.15
Te  0.7440  0.7440  0.2560  4 Y 3.08, 1 Tb 3.15
Y  0.0000  0.5000  0.5000  6 Te 3.07-3.08
Y  0.0000  0.0000  0.5000  6 Te 3.07-3.08
Y  0.5000  0.0000  0.0000  6 Te 3.07-3.08
Te  0.2560  0.2560  0.7440  4 Y 3.08, 1 Tb 3.15
Tb  0.0000  0.0000  0.0000  6 Te 3.15
Y  0.5000  0.5000  0.0000  6 Te 3.07-3.08
Te  0.7440  0.2560  0.2560  4 Y 3.08, 1 Tb 3.15
Te  0.7500  0.7500  0.7500  6 Y 3.07
Te  0.2500  0.2500  0.2500  6 Y 3.07
Te  0.2560  0.7440  0.2560  4 Y 3.08, 1 Tb 3.15
Y  0.5000  0.0000  0.5000  6 Te 3.07-3.08
Y  0.0000  0.5000  0.0000  6 Te 3.07-3.08

Record 9
## Dy2PbAu (GGA-PBE)

Data for crystalline Dy2PbAu at its relaxed geometry.

Computed properties:
DOS(E_F) ... 3.332 states/eV per cell
DFT formation energy ... -632 meV per atom
Calculated total energy ... -4.679 eV per atom
Magnetic moment ... 0.000 μB per atom

Cell: 3.6637 3.6637 7.6914 Å, 90.00 90.00 90.00°
With the nearest neighbours (Å) after each atom.
Fractional positions:
Dy  0.0000  0.0000  0.7740  4 Au 3.12, 4 Pb 3.34, 1 Dy 3.48
Dy  0.0000  0.0000  0.2260  4 Au 3.12, 4 Pb 3.34, 1 Dy 3.48
Au  0.5000  0.5000  0.0000  8 Dy 3.12
Pb  0.5000  0.5000  0.5000  8 Dy 3.34, 4 Pb 3.66

Record 10
## DyHf2Zr3N6 (GGA-PBE)

Data for crystalline DyHf2Zr3N6 at its relaxed geometry.

Computed properties:
Uncorrected formation energy ... -1.72 eV per atom
DOS(E_F) ... 2.882 states/eV per cell
Calculated total energy ... -10.061 eV per atom
Magnetic moment ... 0.000 μB per atom

Cell: 3.2596 6.5854 7.3198 Å, 102.92 102.87 90.00°
With the nearest neighbours (Å) after each atom.
Fractional positions:
Dy  0.5000  0.0000  0.0000  6 N 2.36-2.37
Hf  0.8330  0.6656  0.6661  6 N 2.25-2.28
N  0.3305  0.4243  0.6611  3 Hf 2.27, 3 Zr 2.35
Zr  0.1659  0.8318  0.3319  6 N 2.27-2.37
Zr  0.8341  0.1682  0.6681  6 N 2.27-2.37
Zr  0.5000  0.5000  0.0000  6 N 2.27-2.35
N  0.0048  0.2619  0.0096  1 Hf 2.25, 3 Zr 2.27-2.37, 2 Dy 2.36
N  0.6695  0.5757  0.3389  3 Hf 2.27, 3 Zr 2.35
Hf  0.1670  0.3344  0.3339  6 N 2.25-2.28
N  0.9952  0.7381  0.9904  1 Hf 2.25, 3 Zr 2.27-2.37, 2 Dy 2.36
N  0.3293  0.9050  0.6585  3 Zr 2.27-2.37, 2 Hf 2.28, 1 Dy 2.37
N  0.6707  0.0950  0.3415  3 Zr 2.27-2.37, 2 Hf 2.28, 1 Dy 2.37

Record 11
## Sm2Er3Cd4 (GGA-PBE)

Data for crystalline Sm2Er3Cd4 at its relaxed geometry.

Computed properties:
DOS(E_F) ... 15.453 states/eV per cell
DFT formation energy ... -162 meV per atom
Calculated total energy ... -3.138 eV per atom
Magnetic moment ... 0.000 μB per atom

Cell: 6.7684 8.1515 9.8232 Å, 90.00 110.15 90.00°
With the nearest neighbours (Å) after each atom.
Fractional positions:
Cd  0.6752  0.7500  0.8505  3 Er 2.99-3.15, 2 Cd 3.19, 2 Sm 3.34
Er  0.5044  0.7500  0.5088  5 Cd 3.07-3.15, 2 Er 3.38
Sm  0.9073  0.3994  0.8146  7 Cd 3.34-3.73, 3 Er 3.64-3.68
Er  0.5000  0.5000  0.0000  6 Cd 2.99-3.00
Sm  0.0927  0.6006  0.1854  7 Cd 3.34-3.73, 3 Er 3.64-3.68
Cd  0.3377  0.4843  0.6754  5 Er 3.00-3.15, 2 Cd 3.19
Cd  0.1623  0.9843  0.3246  5 Er 3.00-3.15, 2 Cd 3.19
Cd  0.8248  0.2500  0.1495  3 Er 2.99-3.15, 2 Cd 3.19, 2 Sm 3.34
Sm  0.5927  0.8994  0.1854  7 Cd 3.34-3.73, 3 Er 3.64-3.68
Er  0.0044  0.7500  0.5088  5 Cd 3.07-3.15, 2 Er 3.38
Cd  0.8377  0.0157  0.6754  5 Er 3.00-3.15, 2 Cd 3.19
Er  0.4956  0.2500  0.4912  5 Cd 3.07-3.15, 2 Er 3.38
Sm  0.4073  0.1006  0.8146  7 Cd 3.34-3.73, 3 Er 3.64-3.68
Er  0.0000  0.0000  0.0000  6 Cd 2.99-3.00
Cd  0.1752  0.7500  0.8505  3 Er 2.99-3.15, 2 Cd 3.19, 2 Sm 3.34
Cd  0.6623  0.5157  0.3246  5 Er 3.00-3.15, 2 Cd 3.19
Er  0.9956  0.2500  0.4912  5 Cd 3.07-3.15, 2 Er 3.38
Cd  0.3248  0.2500  0.1495  3 Er 2.99-3.15, 2 Cd 3.19, 2 Sm 3.34

Record 12
## GaNiHgH2 (GGA-PBE)

Data for crystalline GaNiHgH2 at its relaxed geometry.

Computed properties:
DOS(E_F) ... 1.701 states/eV per cell
Calculated total energy ... -2.749 eV per atom
Magnetic moment ... 0.000 μB per atom

Cell: 3.5465 5.5988 3.5465 Å, 90.00 90.00 90.00°
With the nearest neighbours (Å) after each atom.
Fractional positions:
H  0.0000  0.0000  0.5000  2 Hg 1.77
Ni  0.0000  0.5000  0.0000  4 Ga 2.51, 2 Hg 2.80
Ga  0.5000  0.5000  0.5000  4 Ni 2.51
H  0.5000  0.0000  0.0000  2 Hg 1.77
Hg  0.0000  0.0000  0.0000  4 H 1.77